[1]
A relaxed structure of TbAlZnPd2. Source: Alexandria via LeMat-Bulk, functional PBE.

a = 5.4411 Å, b = 5.3077 Å, c = 7.0991 Å
α = 111.95°, β = 90.00°, γ = 90.00°
Fractional positions:
Tb 0.2265 0.7500 0.5000
Tb 0.7735 0.2500 0.5000
Al 0.5000 0.7500 0.0000
Al 0.5000 0.2500 0.0000
Zn 0.0000 0.0000 0.0000
Zn 0.0000 0.5000 0.0000
Pd 0.6988 0.8551 0.7102
Pd 0.6988 0.6449 0.2898
Pd 0.3012 0.3551 0.7102
Pd 0.3012 0.1449 0.2898


[2]
A relaxed structure of TbAlZnPd3. Source: Alexandria via LeMat-Bulk, functional PBE.

a = 5.7924 Å, b = 6.5135 Å, c = 6.8051 Å
α = 118.59°, β = 90.00°, γ = 90.00°
Fractional positions:
Tb 0.7500 0.3034 0.6067
Tb 0.2500 0.6966 0.3933
Al 0.2500 0.3688 0.7376
Al 0.7500 0.6312 0.2624
Zn 0.2500 0.9371 0.8743
Zn 0.7500 0.0629 0.1257
Pd 0.2500 0.1653 0.3306
Pd 0.0000 0.2890 0.0000
Pd 0.5000 0.7110 0.0000
Pd 0.5000 0.2890 0.0000
Pd 0.0000 0.7110 0.0000
Pd 0.7500 0.8347 0.6694


[3]
A relaxed structure of Tb2Al2ZnPd5. Source: Alexandria via LeMat-Bulk, functional PBE.

a = 3.2379 Å, b = 10.4623 Å, c = 10.4623 Å
α = 90.00°, β = 90.00°, γ = 90.00°
Fractional positions:
Tb 0.0000 0.6744 0.1744
Tb 0.0000 0.3256 0.8256
Tb 0.0000 0.1744 0.3256
Tb 0.0000 0.8256 0.6744
Al 0.0000 0.1286 0.6286
Al 0.0000 0.8714 0.3714
Al 0.0000 0.6286 0.8714
Al 0.0000 0.3714 0.1286
Zn 0.0000 0.0000 0.0000
Zn 0.0000 0.5000 0.5000
Pd 0.5000 0.1992 0.0512
Pd 0.5000 0.8008 0.9488
Pd 0.5000 0.0512 0.8008
Pd 0.5000 0.6992 0.4488
Pd 0.5000 0.9488 0.1992
Pd 0.5000 0.3008 0.5512
Pd 0.5000 0.5512 0.6992
Pd 0.5000 0.4488 0.3008
Pd 0.5000 0.5000 0.0000
Pd 0.5000 0.0000 0.5000


[4]
A relaxed structure of AlTcPd. Source: Alexandria via LeMat-Bulk, functional PBE.

a = 2.9872 Å, b = 2.9872 Å, c = 9.7719 Å
α = 90.00°, β = 90.00°, γ = 90.00°
Fractional positions:
Tc 0.0000 0.5000 0.5784
Tc 0.5000 0.0000 0.4216
Al 0.0000 0.5000 0.2499
Al 0.5000 0.0000 0.7501
Pd 0.5000 0.0000 0.1021
Pd 0.0000 0.5000 0.8979


[5]
A relaxed structure of AlTcPd2. Source: Alexandria via LeMat-Bulk, functional PBE.

a = 3.7561 Å, b = 3.7561 Å, c = 9.4842 Å
α = 78.58°, β = 78.58°, γ = 90.00°
Fractional positions:
Tc 0.0000 0.0000 0.0000
Tc 0.7500 0.2500 0.5000
Pd 0.6227 0.1250 0.2500
Pd 0.1273 0.6250 0.2500
Pd 0.3750 0.3773 0.7500
Pd 0.8750 0.8727 0.7500
Al 0.5000 0.5000 0.0000
Al 0.2500 0.7500 0.5000


[6]
A relaxed structure of Al8TcPd2. Source: Alexandria via LeMat-Bulk, functional PBE.

a = 4.0113 Å, b = 7.3083 Å, c = 7.1780 Å
α = 120.60°, β = 106.23°, γ = 90.00°
Fractional positions:
Al 0.6596 0.8905 0.3193
Al 0.3404 0.5712 0.6807
Al 0.1479 0.1479 0.2958
Al 0.0000 0.2913 0.0000
Al 0.8521 0.8521 0.7042
Al 0.6596 0.4288 0.3193
Al 0.3404 0.1095 0.6807
Al 0.0000 0.7087 0.0000
Tc 0.5000 0.0000 0.0000
Pd 0.1833 0.6833 0.3667
Pd 0.8167 0.3167 0.6333


[7]
A relaxed structure of Al4TcPd2. Source: Alexandria via LeMat-Bulk, functional PBE.

a = 4.2536 Å, b = 5.2321 Å, c = 5.2321 Å
α = 108.64°, β = 90.00°, γ = 90.00°
Fractional positions:
Al 0.0000 0.7664 0.7664
Al 0.0000 0.2336 0.2336
Al 0.5000 0.0000 0.5000
Al 0.5000 0.5000 0.0000
Pd 0.0000 0.7430 0.2570
Pd 0.0000 0.2570 0.7430
Tc 0.5000 0.5000 0.5000


[8]
A relaxed structure of Al6TcPd. Source: Alexandria via LeMat-Bulk, functional PBE.

a = 4.4958 Å, b = 4.4958 Å, c = 7.4198 Å
α = 75.54°, β = 75.54°, γ = 72.10°
Fractional positions:
Al 0.0668 0.5667 0.3034
Al 0.5667 0.0668 0.3034
Al 0.4333 0.9332 0.6966
Al 0.9332 0.4333 0.6966
Al 0.3535 0.3535 0.9454
Al 0.6465 0.6465 0.0546
Tc 0.0000 0.0000 0.0000
Pd 0.5000 0.5000 0.5000


| no. | total energy (eV per cell) |
| --- | --- |
| 1 | -46.3 |
| 2 | -57.2 |
| 3 | -102.4 |
| 4 | -42.0 |
| 5 | -47.9 |
| 6 | -55.7 |
| 7 | -39.8 |
| 8 | -39.4 |